Record 1
# VSnAu3, relaxed, DFT PBE
# Relative energy among the computed polymorphs ... 0 meV/atom
# Spin magnetization ... 0.514 μB per atom
# Density of states at the Fermi level ... 5.4 states/eV/cell
# Calculated formation energy ... 635 meV per atom
data_VSnAu3
_space_group_name_H-M_alt 'P m -3 m'
_space_group_IT_number 221
_space_group_name_Hall '-P 4 2 3'
_cell_length_a 4.976
_cell_length_b 4.976
_cell_length_c 4.976
_cell_angle_alpha 90.00
_cell_angle_beta 90.00
_cell_angle_gamma 90.00
loop_
_atom_site_label
_atom_site_fract_x
_atom_site_fract_y
_atom_site_fract_z
V1 0.000 0.000 0.000
Sn1 0.500 0.500 0.500
Au1 0.000 0.000 0.500

---

Record 2
# Tb8Sm3Y2, relaxed, DFT PBE
# Relative energy among the computed polymorphs ... 0 meV/atom
# Spin magnetization ... 0.000 μB per atom
# Density of states at the Fermi level ... 18.2 states/eV/cell
# Calculated formation energy ... 16 meV per atom
data_Tb8Sm3Y2
_space_group_name_H-M_alt 'P -1'
_space_group_IT_number 2
_cell_length_a 6.191
_cell_length_b 7.998
_cell_length_c 9.470
_cell_angle_alpha 65.07
_cell_angle_beta 83.83
_cell_angle_gamma 82.54
loop_
_space_group_symop_operation_xyz
'x,y,z'
'-x,-y,-z'
loop_
_atom_site_label
_atom_site_fract_x
_atom_site_fract_y
_atom_site_fract_z
Tb1 0.077 0.346 0.191
Tb2 0.153 0.192 0.885
Tb3 0.230 0.039 0.577
Tb4 0.307 0.886 0.268
Sm1 0.000 0.500 0.500
Sm2 0.461 0.578 0.654
Y1 0.384 0.732 0.961

---

Look up the calculated formation energy of the second one. 16 meV per atom